Record 1
An optimized crystal structure of Tb6TlPt2Se3, computed with PBE.

## Properties
Size of the total moment (μB per cell): 0.00
Crystal system: monoclinic
Uncorrected energy (eV/atom): -5.72
Raw formation energy (kJ/mol of atoms): -128

a = 4.0208 Å, b = 8.6642 Å, c = 9.6798 Å
α = 110.70°, β = 101.99°, γ = 90.00°
Positions (direct):
Se 0.1666 0.8199 0.3331
Tb 0.6731 0.0836 0.3461
Pt 0.1573 0.3072 0.3146
Se 0.5000 0.5000 0.0000
Se 0.8334 0.1801 0.6669
Tb 0.3269 0.9164 0.6539
Tb 0.0040 0.7333 0.0079
Tl 0.5000 0.0000 0.0000
Tb 0.6771 0.5570 0.3543
Tb 0.3229 0.4430 0.6457
Pt 0.8427 0.6928 0.6854
Tb 0.9960 0.2667 0.9921

Record 2
An optimized crystal structure of Ce5Sb4Pb, computed with PBE.

## Properties
Size of the total moment (μB per cell): 3.66
Crystal system: tetragonal
Uncorrected energy (eV/atom): -5.88
Raw formation energy (kJ/mol of atoms): -86

a = 6.3795 Å, b = 7.8130 Å, c = 7.8130 Å
α = 80.41°, β = 65.90°, γ = 65.90°
Positions (direct):
Ce 0.5011 0.0000 0.0000
Sb 0.4004 0.4005 0.8007
Ce 0.9001 0.4037 0.7982
Pb 0.0011 0.0000 0.0000
Sb 0.2011 0.1993 0.4005
Sb 0.8009 0.8007 0.5995
Ce 0.3038 0.7982 0.5963
Ce 0.6982 0.2018 0.4037
Sb 0.6016 0.5995 0.1993
Ce 0.1020 0.5963 0.2018

Record 3
An optimized crystal structure of Sr2CuF6, computed with PBE.

## Properties
Size of the total moment (μB per cell): 4.03
Crystal system: tetragonal
Uncorrected energy (eV/atom): -5.20
Raw formation energy (kJ/mol of atoms): -301

a = 5.8078 Å, b = 5.8078 Å, c = 16.5738 Å
α = 90.00°, β = 90.00°, γ = 90.00°
Positions (direct):
F 0.8337 0.3341 0.5812
F 0.8281 0.1726 0.0805
F 0.7500 0.7422 0.7497
F 0.1663 0.6659 0.5812
F 0.7422 0.2500 0.2503
F 0.1726 0.1719 0.9195
F 0.6659 0.8337 0.4188
Sr 0.5000 0.5000 0.6614
F 0.8274 0.8281 0.9195
Sr 0.5000 0.0000 0.8376
Cu 0.0000 0.0000 0.0000
Sr 0.0000 0.5000 0.8376
F 0.2422 0.2500 0.2503
F 0.2578 0.7500 0.2503
F 0.1659 0.6663 0.4188
F 0.6663 0.8341 0.5812
Sr 0.0000 0.5000 0.1624
F 0.3341 0.1663 0.4188
F 0.3337 0.1659 0.5812
Sr 0.5000 0.0000 0.1624
Cu 0.5000 0.5000 0.0000
F 0.7500 0.2422 0.7497
F 0.2500 0.7578 0.7497
Cu 0.5000 0.0000 0.5000
F 0.6719 0.6726 0.0805
F 0.3281 0.3274 0.0805
F 0.1719 0.8274 0.0805
Sr 0.0000 0.0000 0.3386
F 0.6726 0.3281 0.9195
Cu 0.0000 0.5000 0.5000
Sr 0.0000 0.0000 0.6614
F 0.8341 0.3337 0.4188
F 0.7578 0.7500 0.2503
F 0.2500 0.2578 0.7497
Sr 0.5000 0.5000 0.3386
F 0.3274 0.6719 0.9195

Record 4
An optimized crystal structure of USbPd, computed with PBE.

## Properties
Size of the total moment (μB per cell): 2.33
Crystal system: tetragonal
Uncorrected energy (eV/atom): -7.06
Raw formation energy (kJ/mol of atoms): -19

a = 3.5553 Å, b = 3.5553 Å, c = 5.8519 Å
α = 107.68°, β = 107.68°, γ = 90.00°
Positions (direct):
Pd 0.9956 0.9956 0.9913
Sb 0.6562 0.6562 0.3124
U 0.3482 0.3482 0.6963

Record 5
An optimized crystal structure of RbHg2Sb2Pb, computed with PBE.

## Properties
Size of the total moment (μB per cell): 0.00
Crystal system: trigonal
Uncorrected energy (eV/atom): -2.39
Raw formation energy (kJ/mol of atoms): -14

a = 5.0663 Å, b = 5.0663 Å, c = 9.1348 Å
α = 90.00°, β = 90.00°, γ = 120.00°
Positions (direct):
Hg 0.3333 0.6667 0.7234
Sb 0.6667 0.3333 0.7013
Hg 0.6667 0.3333 0.2766
Rb 0.0000 0.0000 0.0000
Pb 0.0000 0.0000 0.5000
Sb 0.3333 0.6667 0.2987

Record 6
An optimized crystal structure of ErTePbO6, computed with PBE.

## Properties
Size of the total moment (μB per cell): 0.00
Crystal system: trigonal
Uncorrected energy (eV/atom): -6.26
Raw formation energy (kJ/mol of atoms): -162

a = 5.6412 Å, b = 5.6412 Å, c = 9.6346 Å
α = 90.00°, β = 90.00°, γ = 120.00°
Positions (direct):
Te 0.3333 0.6667 0.7500
O 0.0377 0.6552 0.8621
O 0.6552 0.6175 0.1379
Er 0.3333 0.6667 0.2500
O 0.6552 0.0377 0.3621
O 0.3824 0.0377 0.1379
O 0.6176 0.6552 0.6379
O 0.9623 0.3448 0.1379
O 0.3824 0.3448 0.3621
O 0.3448 0.3825 0.8621
O 0.9623 0.6175 0.3621
Pb 0.0000 0.0000 0.0000
Pb 0.0000 0.0000 0.5000
O 0.6176 0.9623 0.8621
Er 0.6667 0.3333 0.7500
O 0.0377 0.3825 0.6379
O 0.3448 0.9623 0.6379
Te 0.6667 0.3333 0.2500

Record 7
An optimized crystal structure of CsRb2CoBr6, computed with PBE.

## Properties
Size of the total moment (μB per cell): 0.33
Crystal system: monoclinic
Uncorrected energy (eV/atom): -3.13
Raw formation energy (kJ/mol of atoms): -110

a = 8.0417 Å, b = 8.2390 Å, c = 11.4252 Å
α = 90.00°, β = 92.05°, γ = 90.00°
Positions (direct):
Br 0.7436 0.8370 0.5554
Co 0.0000 0.5000 0.0000
Br 0.7564 0.3370 0.9446
Rb 0.4786 0.4319 0.2571
Rb 0.5214 0.5681 0.7429
Rb 0.0214 0.9319 0.2429
Br 0.3947 0.9705 0.6970
Rb 0.9786 0.0681 0.7571
Br 0.8947 0.5295 0.1970
Br 0.2564 0.1630 0.4446
Cs 0.0000 0.5000 0.5000
Br 0.6053 0.0295 0.3030
Br 0.1053 0.4705 0.8030
Br 0.6497 0.2470 0.5606
Cs 0.5000 0.0000 0.0000
Co 0.5000 0.0000 0.5000
Br 0.2436 0.6630 0.0554
Br 0.8503 0.7470 0.9394
Br 0.1497 0.2530 0.0606
Br 0.3503 0.7530 0.4394

Record 8
An optimized crystal structure of RbNbCoSe3, computed with PBE.

## Properties
Size of the total moment (μB per cell): 1.95
Crystal system: monoclinic
Uncorrected energy (eV/atom): -5.57
Raw formation energy (kJ/mol of atoms): -78

a = 3.6796 Å, b = 9.1532 Å, c = 9.8991 Å
α = 117.17°, β = 90.00°, γ = 90.00°
Positions (direct):
Se 0.7500 0.8907 0.1442
Se 0.7500 0.2101 0.5425
Se 0.2500 0.1093 0.8558
Rb 0.7500 0.7550 0.7439
Nb 0.2500 0.7065 0.1750
Nb 0.7500 0.2935 0.8250
Se 0.7500 0.4736 0.1358
Se 0.2500 0.7899 0.4575
Se 0.2500 0.5264 0.8642
Co 0.2500 0.0858 0.6067
Rb 0.2500 0.2450 0.2561
Co 0.7500 0.9142 0.3933